MgInMoO4 | PBE+U | optimized geometry

Results
Its total energy is -6.3663 eV per atom. The value obtained for the volume is 13.09 A^3/atom.

Geometry as POSCAR:
```
MgInMoO4
1.0
-3.185 3.198 4.499
3.185 -3.198 4.499
3.185 3.198 -4.499
Mg In Mo O
2 2 2 8
Direct
0.376 0.126 0.250
0.624 0.874 0.750
0.000 0.000 0.500
0.000 0.500 0.000
0.000 0.500 0.500
0.500 0.500 0.000
0.232 0.743 0.489
0.246 0.257 0.989
0.246 0.262 0.515
0.246 0.731 0.985
0.754 0.269 0.015
0.754 0.738 0.485
0.754 0.743 0.011
0.768 0.257 0.511
```